Record 1
First-principles (PBE) data for a relaxed structure of TaCrGa2P, as listed in the Alexandria database.

The space group is P4/mmm (No. 123) and the conventional cell measures 4.623, 4.623 and 4.155 Å, with angles of 90.00, 90.00 and 90.00 degrees. The distinct sites, in fractional coordinates, are Ta at (0.000, 0.000, 0.000), Cr at (0.500, 0.500, 0.500), Ga at (0.000, 0.500, 0.500) and P at (0.500, 0.500, 0.000).

For the formation energy, the calculation gives 0.782 eV/atom.

=====

Record 2
First-principles (PBE) data for a relaxed structure of TaRh2Cl, as listed in the Alexandria database.

The space group is I-42d (No. 122) and the conventional cell measures 6.023, 6.023 and 9.523 Å, with angles of 90.00, 90.00 and 90.00 degrees. The distinct sites, in fractional coordinates, are Ta at (0.000, 0.000, 0.000), Rh at (0.246, 0.250, 0.125) and Cl at (0.000, 0.000, 0.500).

For the energy above the most stable polymorph in this dataset, the calculation gives 628 meV/atom.

=====

The records above give, respectively, DOS(E_F) values of 0.801, 0.000 states/eV per atom.